[1]
Material: SrMnTc2
Method: DFT, PBE
State: optimized geometry

Calculated values
The relative energy among the computed polymorphs comes out at 634 meV per atom. As for the energy relative to the elements: 1.06 eV/atom.

The structure in CIF format:
```
data_SrMnTc2
_chemical_formula_sum 'Sr1 Mn1 Tc2'
_cell_length_a 3.935
_cell_length_b 3.935
_cell_length_c 4.788
_cell_angle_alpha 90.00
_cell_angle_beta 90.00
_cell_angle_gamma 90.00
_symmetry_space_group_name_H-M 'P 4/m m m'
_symmetry_Int_Tables_number 123
_symmetry_space_group_name_Hall '-P 4 2'
loop_
_atom_site_label
_atom_site_fract_x
_atom_site_fract_y
_atom_site_fract_z
_atom_site_occupancy
Sr1 0.000 0.000 0.000 1
Mn1 0.500 0.500 0.000 1
Tc1 0.000 0.500 0.500 1
```


[2]
Material: ZnRe2Br
Method: DFT, PBE
State: optimized geometry

Calculated values
The relative energy among the computed polymorphs comes out at 1022 meV per atom. As for the formation energy from raw total energies: 1.291 eV per atom.

The structure in CIF format:
```
data_ZnRe2Br
_chemical_formula_sum 'Zn4 Re8 Br4'
_cell_length_a 6.235
_cell_length_b 6.235
_cell_length_c 6.235
_cell_angle_alpha 90.00
_cell_angle_beta 90.00
_cell_angle_gamma 90.00
_symmetry_space_group_name_H-M 'F m -3 m'
_symmetry_Int_Tables_number 225
_symmetry_space_group_name_Hall '-F 4 2 3'
loop_
_atom_site_label
_atom_site_fract_x
_atom_site_fract_y
_atom_site_fract_z
_atom_site_occupancy
Zn1 0.000 0.000 0.000 1
Re1 0.250 0.250 0.250 1
Br1 0.000 0.000 0.500 1
```


[3]
Material: YCd2Cl
Method: DFT, PBE
State: optimized geometry

Calculated values
The relative energy among the computed polymorphs comes out at 70 meV per atom. As for the formation energy from raw total energies: -0.578 eV per atom.

The structure in CIF format:
```
data_YCd2Cl
_chemical_formula_sum 'Y1 Cd2 Cl1'
_cell_length_a 3.548
_cell_length_b 5.184
_cell_length_c 5.690
_cell_angle_alpha 90.00
_cell_angle_beta 90.00
_cell_angle_gamma 90.00
_symmetry_space_group_name_H-M 'P m m 2'
_symmetry_Int_Tables_number 25
loop_
_symmetry_equiv_pos_as_xyz
'x,y,z'
'-x,-y,z'
'-x,y,z'
'x,-y,z'
loop_
_atom_site_label
_atom_site_fract_x
_atom_site_fract_y
_atom_site_fract_z
_atom_site_occupancy
Y1 0.000 0.000 0.000 1
Cd1 0.500 0.000 0.503 1
Cd2 0.500 0.500 0.715 1
Cl1 0.000 0.500 0.150 1
```


[4]
Material: TiAlNi14
Method: DFT, PBE
State: optimized geometry

Calculated values
As for the energy relative to the elements: -0.20 eV/atom.

The structure in CIF format:
```
data_TiAlNi14
_chemical_formula_sum 'Ti1 Al1 Ni14'
_cell_length_a 5.023
_cell_length_b 5.023
_cell_length_c 7.112
_cell_angle_alpha 90.00
_cell_angle_beta 90.00
_cell_angle_gamma 90.00
_symmetry_space_group_name_H-M 'P 4/m m m'
_symmetry_Int_Tables_number 123
_symmetry_space_group_name_Hall '-P 4 2'
loop_
_atom_site_label
_atom_site_fract_x
_atom_site_fract_y
_atom_site_fract_z
_atom_site_occupancy
Ti1 0.000 0.000 0.000 1
Al1 0.500 0.500 0.000 1
Ni1 0.000 0.000 0.500 1
Ni2 0.000 0.500 0.000 1
Ni3 0.000 0.500 0.500 1
Ni4 0.251 0.251 0.255 1
Ni5 0.500 0.500 0.500 1
```


[5]
Material: ScPdRh2
Method: DFT, PBE
State: optimized geometry

Calculated values
As for the energy relative to the elements: -0.23 eV/atom.

The structure in CIF format:
```
data_ScPdRh2
_chemical_formula_sum 'Sc4 Pd4 Rh8'
_cell_length_a 3.822
_cell_length_b 3.822
_cell_length_c 18.559
_cell_angle_alpha 90.00
_cell_angle_beta 90.00
_cell_angle_gamma 90.00
_symmetry_space_group_name_H-M 'I -4 2 d'
_symmetry_Int_Tables_number 122
_symmetry_space_group_name_Hall 'I -4 2bw'
loop_
_atom_site_label
_atom_site_fract_x
_atom_site_fract_y
_atom_site_fract_z
_atom_site_occupancy
Sc1 0.000 0.000 0.000 1
Pd1 0.000 0.000 0.500 1
Rh1 0.241 0.250 0.625 1
```


[6]
Material: Li3Si4
Method: DFT, PBE
State: optimized geometry

Calculated values
The relative energy among the computed polymorphs comes out at 138 meV per atom. As for the formation energy from raw total energies: 0.166 eV per atom.

The structure in CIF format:
```
data_Li3Si4
_chemical_formula_sum 'Li3 Si4'
_cell_length_a 4.9980
_cell_length_b 4.9980
_cell_length_c 4.6760
_cell_angle_alpha 90.00
_cell_angle_beta 90.00
_cell_angle_gamma 120.00
_symmetry_space_group_name_H-M 'P 6/m m m'
_symmetry_Int_Tables_number 191
_symmetry_space_group_name_Hall '-P 6 2'
loop_
_atom_site_label
_atom_site_fract_x
_atom_site_fract_y
_atom_site_fract_z
_atom_site_occupancy
Li1 0.0000 0.5000 0.0000 1
Si1 0.0000 0.0000 0.2482 1
Si2 0.3333 0.6667 0.5000 1
```


[7]
Material: K2BaZr
Method: DFT, PBE
State: optimized geometry

Calculated values
The relative energy among the computed polymorphs comes out at 225 meV per atom. As for the energy relative to the elements: 0.81 eV/atom.

The structure in CIF format:
```
data_K2BaZr
_chemical_formula_sum 'K4 Ba2 Zr2'
_cell_length_a 3.831
_cell_length_b 7.405
_cell_length_c 14.103
_cell_angle_alpha 90.00
_cell_angle_beta 90.00
_cell_angle_gamma 90.00
_symmetry_space_group_name_H-M 'I m m 2'
_symmetry_Int_Tables_number 44
loop_
_symmetry_equiv_pos_as_xyz
'x,y,z'
'-x,-y,z'
'-x,y,z'
'x,-y,z'
'x+1/2,y+1/2,z+1/2'
'-x+1/2,-y+1/2,z+1/2'
'-x+1/2,y+1/2,z+1/2'
'x+1/2,-y+1/2,z+1/2'
loop_
_atom_site_label
_atom_site_fract_x
_atom_site_fract_y
_atom_site_fract_z
_atom_site_occupancy
K1 0.000 0.000 0.000 1
K2 0.000 0.500 0.231 1
Ba1 0.000 0.000 0.448 1
Zr1 0.000 0.500 0.736 1
```


[8]
Material: BaPb2Au9
Method: DFT, PBE
State: optimized geometry

Calculated values
As for the energy relative to the elements: -0.24 eV/atom.

The structure in CIF format:
```
data_BaPb2Au9
_chemical_formula_sum 'Ba3 Pb6 Au27'
_cell_length_a 5.8321
_cell_length_b 5.8321
_cell_length_c 27.5709
_cell_angle_alpha 90.00
_cell_angle_beta 90.00
_cell_angle_gamma 120.00
_symmetry_space_group_name_H-M 'R -3 m'
_symmetry_Int_Tables_number 166
_symmetry_space_group_name_Hall '-R 3 2"'
loop_
_atom_site_label
_atom_site_fract_x
_atom_site_fract_y
_atom_site_fract_z
_atom_site_occupancy
Ba1 0.0000 0.0000 0.0000 1
Pb1 0.0000 0.0000 0.1486 1
Au1 0.0000 0.0000 0.3331 1
Au2 0.0000 0.0000 0.5000 1
Au3 0.0025 0.5012 0.9157 1
```


Number 1: calculated density 7.6 Mg/m³, density of states at the Fermi level 1.520 states/eV per atom. Number 2: calculated density 14.2 Mg/m³, density of states at the Fermi level 1.187 states/eV per atom. Number 3: calculated density 5.5 Mg/m³, density of states at the Fermi level 0.628 states/eV per atom. Number 4: calculated density 8.3 Mg/m³, density of states at the Fermi level 1.577 states/eV per atom. Number 5: calculated density 8.7 Mg/m³, density of states at the Fermi level 1.203 states/eV per atom. Number 6: calculated density 2.2 Mg/m³, density of states at the Fermi level 0.440 states/eV per atom. Number 7: calculated density 2.5 Mg/m³, density of states at the Fermi level 1.405 states/eV per atom. Number 8: calculated density 14.3 Mg/m³, density of states at the Fermi level 0.397 states/eV per atom.